Entry from OQMD via LeMat-Bulk: an optimized crystal structure of KErCoS3 (PBE-GGA).

Cell: 8.7401 3.8427 9.1340 Å, 90.00 107.83 90.00°
Closest atoms and distances in Å follow each position.
Space group P2_1/m (No. 11)
Symmetry-distinct sites (fractional):
1 K 0.2009 0.2500 0.2323 (multiplicity 2)  7 S 3.17-3.41
2 Er 0.3315 0.7500 0.8560 (multiplicity 2)  6 S 2.68-2.83
3 Co 0.0764 0.2500 0.5910 (multiplicity 2)  4 S 2.19-2.28
4 S 0.1126 0.2500 0.8488 (multiplicity 2)  1 Co 2.28
5 S 0.1806 0.7500 0.5346 (multiplicity 2)  3 Co 2.19-2.25
6 S 0.4581 0.7500 0.1625 (multiplicity 2)  3 Er 2.68-2.70

Values from the calculation:
As for the total energy: -66.0 eV/cell.

Entry from OQMD via LeMat-Bulk: an optimized crystal structure of KErCoSe3 (PBE-GGA).

Cell: 9.1043 3.9933 9.5535 Å, 90.00 108.88 90.00°
Closest atoms and distances in Å follow each position.
Space group P2_1/m (No. 11)
Symmetry-distinct sites (fractional):
1 K 0.2068 0.2500 0.2370 (multiplicity 2)  7 Se 3.29-3.51
2 Er 0.3278 0.7500 0.8585 (multiplicity 2)  6 Se 2.81-2.94
3 Co 0.0748 0.2500 0.5907 (multiplicity 2)  4 Se 2.32-2.41
4 Se 0.1057 0.2500 0.8511 (multiplicity 2)  1 Co 2.41
5 Se 0.1908 0.7500 0.5342 (multiplicity 2)  3 Co 2.32-2.40
6 Se 0.4614 0.7500 0.1675 (multiplicity 2)  3 Er 2.81-2.84

Values from the calculation:
As for the total energy: -60.5 eV/cell.